Entry 1:
A plane-wave DFT calculation with PBE was carried out for a relaxed SiSnAsBr2 crystal.

**DFT total energy**: -3.313 eV per atom
**Magnetic moment**: 0.00 μB per atom
**Offset from the most stable computed form**: 0.0000 eV per atom
**Density of states at the Fermi level**: 3.75 states/eV per cell
**Formation energy (no corrections)**: 0.85 eV/f.u.

Cell and atoms, written as CIF:
```
data_SiSnAsBr2
_cell_length_a 5.040
_cell_length_b 5.040
_cell_length_c 5.196
_cell_angle_alpha 90.00
_cell_angle_beta 90.00
_cell_angle_gamma 90.00
_symmetry_space_group_name_H-M 'P 4/m m m'
_symmetry_Int_Tables_number 123
_symmetry_space_group_name_Hall '-P 4 2'
loop_
_atom_site_label
_atom_site_fract_x
_atom_site_fract_y
_atom_site_fract_z
Si1 0.000 0.000 0.000
Sn1 0.500 0.500 0.500
As1 0.000 0.000 0.500
Br1 0.000 0.500 0.000
```

---

Entry 2:
A plane-wave DFT calculation with PBE was carried out for a relaxed SiSnAsBr2 crystal.

**DFT total energy**: -2.871 eV per atom
**Magnetic moment**: 0.00 μB per atom
**Offset from the most stable computed form**: 0.4421 eV per atom
**Density of states at the Fermi level**: 3.63 states/eV per cell
**Formation energy (no corrections)**: 3.07 eV/f.u.

Cell and atoms, written as CIF:
```
data_SiSnAsBr2
_cell_length_a 5.418
_cell_length_b 5.418
_cell_length_c 5.511
_cell_angle_alpha 90.00
_cell_angle_beta 90.00
_cell_angle_gamma 90.00
_symmetry_space_group_name_H-M 'P 4/m m m'
_symmetry_Int_Tables_number 123
_symmetry_space_group_name_Hall '-P 4 2'
loop_
_atom_site_label
_atom_site_fract_x
_atom_site_fract_y
_atom_site_fract_z
Si1 0.000 0.000 0.000
Sn1 0.500 0.500 0.500
As1 0.500 0.500 0.000
Br1 0.000 0.500 0.500
```

---

Entry 3:
A plane-wave DFT calculation with PBE was carried out for a relaxed SrSi2AsBr crystal.

**DFT total energy**: -2.626 eV per atom
**Magnetic moment**: 0.08 μB per atom
**Density of states at the Fermi level**: 4.58 states/eV per cell
**Formation energy (no corrections)**: 5.72 eV/f.u.

Cell and atoms, written as CIF:
```
data_SrSi2AsBr
_cell_length_a 5.990
_cell_length_b 5.990
_cell_length_c 5.563
_cell_angle_alpha 90.00
_cell_angle_beta 90.00
_cell_angle_gamma 90.00
_symmetry_space_group_name_H-M 'P 4/m m m'
_symmetry_Int_Tables_number 123
_symmetry_space_group_name_Hall '-P 4 2'
loop_
_atom_site_label
_atom_site_fract_x
_atom_site_fract_y
_atom_site_fract_z
Sr1 0.000 0.000 0.000
Si1 0.000 0.500 0.000
As1 0.500 0.500 0.500
Br1 0.000 0.000 0.500
```

---

Entry 4:
A plane-wave DFT calculation with PBE was carried out for a relaxed TaSiAs2Br crystal.

**DFT total energy**: -4.627 eV per atom
**Magnetic moment**: 0.28 μB per atom
**Offset from the most stable computed form**: 0.4133 eV per atom
**Density of states at the Fermi level**: 4.09 states/eV per cell
**Formation energy (no corrections)**: 5.11 eV/f.u.

Cell and atoms, written as CIF:
```
data_TaSiAs2Br
_cell_length_a 4.741
_cell_length_b 4.741
_cell_length_c 4.771
_cell_angle_alpha 90.00
_cell_angle_beta 90.00
_cell_angle_gamma 90.00
_symmetry_space_group_name_H-M 'P 4/m m m'
_symmetry_Int_Tables_number 123
_symmetry_space_group_name_Hall '-P 4 2'
loop_
_atom_site_label
_atom_site_fract_x
_atom_site_fract_y
_atom_site_fract_z
Ta1 0.000 0.000 0.000
Si1 0.500 0.500 0.500
As1 0.000 0.500 0.500
Br1 0.500 0.500 0.000
```

---

Entry 5:
A plane-wave DFT calculation with PBE was carried out for a relaxed TaSiAs2Br crystal.

**DFT total energy**: -5.040 eV per atom
**Magnetic moment**: 0.00 μB per atom
**Offset from the most stable computed form**: 0.0000 eV per atom
**Density of states at the Fermi level**: 3.02 states/eV per cell
**Formation energy (no corrections)**: 3.05 eV/f.u.

Cell and atoms, written as CIF:
```
data_TaSiAs2Br
_cell_length_a 5.044
_cell_length_b 5.044
_cell_length_c 5.050
_cell_angle_alpha 90.00
_cell_angle_beta 90.00
_cell_angle_gamma 90.00
_symmetry_space_group_name_H-M 'P 4/m m m'
_symmetry_Int_Tables_number 123
_symmetry_space_group_name_Hall '-P 4 2'
loop_
_atom_site_label
_atom_site_fract_x
_atom_site_fract_y
_atom_site_fract_z
Ta1 0.000 0.000 0.000
Si1 0.500 0.500 0.500
As1 0.000 0.500 0.000
Br1 0.000 0.000 0.500
```

---

Entry 6:
A plane-wave DFT calculation with PBE was carried out for a relaxed SiTcAs2Br crystal.

**DFT total energy**: -4.630 eV per atom
**Magnetic moment**: 0.00 μB per atom
**Offset from the most stable computed form**: 0.0000 eV per atom
**Density of states at the Fermi level**: 3.70 states/eV per cell
**Formation energy (no corrections)**: 3.61 eV/f.u.

Cell and atoms, written as CIF:
```
data_SiTcAs2Br
_cell_length_a 4.717
_cell_length_b 4.717
_cell_length_c 5.436
_cell_angle_alpha 90.00
_cell_angle_beta 90.00
_cell_angle_gamma 90.00
_symmetry_space_group_name_H-M 'P 4/m m m'
_symmetry_Int_Tables_number 123
_symmetry_space_group_name_Hall '-P 4 2'
loop_
_atom_site_label
_atom_site_fract_x
_atom_site_fract_y
_atom_site_fract_z
Si1 0.000 0.000 0.000
Tc1 0.500 0.500 0.500
As1 0.000 0.500 0.500
Br1 0.500 0.500 0.000
```

---

Entry 7:
A plane-wave DFT calculation with PBE was carried out for a relaxed SiTcAs2Br crystal.

**DFT total energy**: -4.255 eV per atom
**Magnetic moment**: 0.67 μB per atom
**Offset from the most stable computed form**: 0.3755 eV per atom
**Density of states at the Fermi level**: 3.35 states/eV per cell
**Formation energy (no corrections)**: 5.49 eV/f.u.

Cell and atoms, written as CIF:
```
data_SiTcAs2Br
_cell_length_a 4.826
_cell_length_b 4.826
_cell_length_c 4.887
_cell_angle_alpha 90.00
_cell_angle_beta 90.00
_cell_angle_gamma 90.00
_symmetry_space_group_name_H-M 'P 4/m m m'
_symmetry_Int_Tables_number 123
_symmetry_space_group_name_Hall '-P 4 2'
loop_
_atom_site_label
_atom_site_fract_x
_atom_site_fract_y
_atom_site_fract_z
Si1 0.000 0.000 0.000
Tc1 0.500 0.500 0.500
As1 0.000 0.500 0.000
Br1 0.000 0.000 0.500
```

---

Entry 8:
A plane-wave DFT calculation with PBE was carried out for a relaxed SiTeAsBr2 crystal.

**DFT total energy**: -2.482 eV per atom
**Magnetic moment**: 0.03 μB per atom
**Offset from the most stable computed form**: 0.5059 eV per atom
**Density of states at the Fermi level**: 2.89 states/eV per cell
**Formation energy (no corrections)**: 4.15 eV/f.u.

Cell and atoms, written as CIF:
```
data_SiTeAsBr2
_cell_length_a 5.428
_cell_length_b 5.428
_cell_length_c 5.673
_cell_angle_alpha 90.00
_cell_angle_beta 90.00
_cell_angle_gamma 90.00
_symmetry_space_group_name_H-M 'P 4/m m m'
_symmetry_Int_Tables_number 123
_symmetry_space_group_name_Hall '-P 4 2'
loop_
_atom_site_label
_atom_site_fract_x
_atom_site_fract_y
_atom_site_fract_z
Si1 0.000 0.000 0.000
Te1 0.500 0.500 0.500
As1 0.500 0.500 0.000
Br1 0.000 0.500 0.500
```